A plane-wave DFT calculation with PBE was carried out for an optimized crystal structure of SmGd3Co.

Cell lengths 5.328, 5.328, 5.328 Å; angles 90.00, 90.00, 90.00 degrees
Space group Pm-3m (No. 221)
One atom of each set of equivalent atoms:
Sm1 0.000 0.000 0.000 (multiplicity 1)
Gd1 0.000 0.500 0.500 (multiplicity 3)
Co1 0.500 0.500 0.500 (multiplicity 1)

Results
Theoretical density: 7.48 g cm⁻³
Calculated formation energy: -0.9 kJ per mole of atoms

=====

A plane-wave DFT calculation with PBE was carried out for an optimized crystal structure of CsCaHg2F8.

Cell lengths 6.1654, 6.1654, 21.0663 Å; angles 90.00, 90.00, 120.00 degrees
Space group R-3 (No. 148, hexagonal axes)
One atom of each set of equivalent atoms:
Cs1 0.0000 0.0000 0.0000 (multiplicity 3)
Ca1 0.0000 0.0000 0.5000 (multiplicity 3)
Hg1 0.0000 0.0000 0.2023 (multiplicity 6)
F1 0.0000 0.0000 0.3028 (multiplicity 6)
F2 0.0306 0.3966 0.7881 (multiplicity 18)

Results
Theoretical density: 5.22 g cm⁻³
Formation energy without anion corrections: -2.120 eV per atom

=====

A plane-wave DFT calculation with PBE was carried out for an optimized crystal structure of Ba4TbTl3O12.

Cell lengths 8.728, 8.728, 8.728 Å; angles 90.00, 90.00, 90.00 degrees
Space group Im-3m (No. 229)
One atom of each set of equivalent atoms:
Ba1 0.250 0.250 0.250 (multiplicity 8)
Tb1 0.000 0.000 0.000 (multiplicity 2)
Tl1 0.000 0.000 0.500 (multiplicity 6)
O1 0.000 0.000 0.253 (multiplicity 12)
O2 0.000 0.250 0.500 (multiplicity 12)

Results
Theoretical density: 7.56 g cm⁻³
Formation energy without anion corrections: -1.635 eV per atom

=====

A plane-wave DFT calculation with PBE was carried out for an optimized crystal structure of CsMn4Ge2.

Cell lengths 5.211, 5.211, 14.133 Å; angles 90.00, 90.00, 90.00 degrees
Space group I4/mmm (No. 139)
One atom of each set of equivalent atoms:
Cs1 0.000 0.000 0.000 (multiplicity 2)
Mn1 0.000 0.000 0.238 (multiplicity 4)
Mn2 0.000 0.500 0.000 (multiplicity 4)
Ge1 0.000 0.000 0.412 (multiplicity 4)

Results
Theoretical density: 4.31 g cm⁻³
Calculated formation energy: 147.7 kJ per mole of atoms

=====

A plane-wave DFT calculation with PBE was carried out for an optimized crystal structure of Pr2VGe.

Cell lengths 3.3955, 3.3955, 31.8754 Å; angles 90.00, 90.00, 120.00 degrees
Space group R-3m (No. 166, hexagonal axes)
One atom of each set of equivalent atoms:
Pr1 0.0000 0.0000 0.0902 (multiplicity 6)
V1 0.0000 0.0000 0.0000 (multiplicity 3)
Ge1 0.0000 0.0000 0.5000 (multiplicity 3)

Results
Theoretical density: 6.35 g cm⁻³
Calculated formation energy: 45.6 kJ per mole of atoms

=====

A plane-wave DFT calculation with PBE was carried out for an optimized crystal structure of Pm8Si5N.

Cell lengths 8.772, 8.772, 9.156 Å; angles 90.00, 90.00, 90.00 degrees
Space group I-4 (No. 82)
One atom of each set of equivalent atoms:
Pm1 0.058 0.282 0.450 (multiplicity 8)
Pm2 0.074 0.186 0.821 (multiplicity 8)
Si1 0.000 0.500 0.750 (multiplicity 2)
Si2 0.123 0.251 0.131 (multiplicity 8)
N1 0.000 0.000 0.500 (multiplicity 2)

Results
Theoretical density: 6.20 g cm⁻³
Formation energy without anion corrections: -0.648 eV per atom

=====

A plane-wave DFT calculation with PBE was carried out for an optimized crystal structure of Ce2IrPt.

Cell lengths 4.0414, 4.0414, 20.6992 Å; angles 90.00, 90.00, 120.00 degrees
Space group R3m (No. 160, hexagonal axes)
One atom of each set of equivalent atoms:
Ce1 0.0000 0.0000 0.0000 (multiplicity 3)
Ce2 0.0000 0.0000 0.1779 (multiplicity 3)
Ir1 0.0000 0.0000 0.5889 (multiplicity 3)
Pt1 0.0000 0.0000 0.4236 (multiplicity 3)

Results
Theoretical density: 11.36 g cm⁻³
Calculated formation energy: -79.7 kJ per mole of atoms

=====

A plane-wave DFT calculation with PBE was carried out for an optimized crystal structure of RbInSn2F8.

Cell lengths 5.257, 5.518, 8.053 Å; angles 85.77, 87.13, 87.75 degrees
Space group P-1 (No. 2)
One atom of each set of equivalent atoms:
Rb1 0.000 0.000 0.000 (multiplicity 1)
In1 0.000 0.000 0.500 (multiplicity 1)
Sn1 0.492 0.500 0.741 (multiplicity 2)
F1 0.172 0.789 0.314 (multiplicity 2)
F2 0.240 0.858 0.691 (multiplicity 2)
F3 0.260 0.285 0.436 (multiplicity 2)
F4 0.311 0.355 0.074 (multiplicity 2)

Results
Theoretical density: 4.21 g cm⁻³
Formation energy without anion corrections: -2.462 eV per atom

=====

Copy entry 4 word for word.
A plane-wave DFT calculation with PBE was carried out for an optimized crystal structure of CsMn4Ge2.

Cell lengths 5.211, 5.211, 14.133 Å; angles 90.00, 90.00, 90.00 degrees
Space group I4/mmm (No. 139)
One atom of each set of equivalent atoms:
Cs1 0.000 0.000 0.000 (multiplicity 2)
Mn1 0.000 0.000 0.238 (multiplicity 4)
Mn2 0.000 0.500 0.000 (multiplicity 4)
Ge1 0.000 0.000 0.412 (multiplicity 4)

Results
Theoretical density: 4.31 g cm⁻³
Calculated formation energy: 147.7 kJ per mole of atoms

=====

Q: The lowest theoretical density belongs to which entry?
A: RbInSn2F8

=====

Q: Which of these has the lowest theoretical density?
A: RbInSn2F8

=====

Q: theoretical density of number 3 (Ba4TbTl3O12)?
A: 7.56 g cm⁻³